Below is a PBEsol-optimized structure of BeI2, with properties calculated at the meta-GGA SCAN level.

Cell: 6.009 6.159 7.132 Å, 115.58 114.91 90.00°
Fractional coordinates of all 6 atoms:
1 I 0.883 0.100 0.766
2 I 0.117 0.900 0.234
3 I 0.383 0.667 0.766
4 I 0.617 0.333 0.234
5 Be 0.750 0.000 0.000
6 Be 0.250 0.000 0.000

Values from the calculation:
- Symmetry: Ibam, No. 72
- Energy above the lowest structure with this stoichiometry: 0.03 eV/f.u.
- Energy relative to the elements, uncorrected: -0.606 eV/atom